An optimized crystal structure of CsMn2ZnF8. Source: Alexandria via LeMat-Bulk, functional GGA+U.

Cell: 4.8425 4.8593 8.6962 Å, 91.27 92.57 93.62°
Element x y z (fractional)
Cs: 0.0000 0.0000 0.0000
Mn: 0.4785 0.4989 0.3190
Mn: 0.5215 0.5011 0.6810
Zn: 0.0000 0.0000 0.5000
F: 0.2133 0.1755 0.3301
F: 0.2232 0.2067 0.6782
F: 0.2911 0.6839 0.5114
F: 0.3320 0.5757 0.1211
F: 0.6680 0.4243 0.8789
F: 0.7089 0.3161 0.4886
F: 0.7768 0.7933 0.3218
F: 0.7867 0.8245 0.6699

Values from the calculation:
Raw total energy = -5.148 eV/atom
Total magnetization = 0.75 μB/atom